Entry 1:
Below is KBe2Fe after structural relaxation, with properties calculated at the PBE level.

Cell and atoms, written as CIF:
```
data_KBe2Fe
_space_group_name_H-M_alt 'P 1'
_space_group_IT_number 1
_space_group_name_Hall 'P 1'
_cell_length_a 9.367
_cell_length_b 9.367
_cell_length_c 9.367
_cell_angle_alpha 16.56
_cell_angle_beta 16.56
_cell_angle_gamma 16.56
loop_
_atom_site_label
_atom_site_type_symbol
_atom_site_fract_x
_atom_site_fract_y
_atom_site_fract_z
_atom_site_occupancy
Be1 Be 0.520 0.520 0.520 1
Be2 Be 0.980 0.980 0.980 1
K1 K 0.750 0.750 0.750 1
Fe1 Fe 0.250 0.250 0.250 1
```

Values from the calculation:
electronic total energy = -3.3997 eV/atom
space-group type = R-3m

***

Entry 2:
Below is KBeFe4 after structural relaxation, with properties calculated at the PBE level.

Cell and atoms, written as CIF:
```
data_KBeFe4
_space_group_name_H-M_alt 'P 1'
_space_group_IT_number 1
_space_group_name_Hall 'P 1'
_cell_length_a 5.052
_cell_length_b 5.052
_cell_length_c 5.052
_cell_angle_alpha 60.00
_cell_angle_beta 60.00
_cell_angle_gamma 60.00
loop_
_atom_site_label
_atom_site_type_symbol
_atom_site_fract_x
_atom_site_fract_y
_atom_site_fract_z
_atom_site_occupancy
K1 K 0.750 0.750 0.750 1
Fe1 Fe 0.374 0.879 0.374 1
Fe2 Fe 0.879 0.374 0.374 1
Fe3 Fe 0.374 0.374 0.374 1
Fe4 Fe 0.374 0.374 0.879 1
Be1 Be 0.000 0.000 0.000 1
```

Values from the calculation:
electronic total energy = -5.5483 eV/atom
space-group type = F-43m

***

Entry 3:
Below is KMgBe2Fe after structural relaxation, with properties calculated at the PBE level.

Cell and atoms, written as CIF:
```
data_KMgBe2Fe
_space_group_name_H-M_alt 'P 1'
_space_group_IT_number 1
_space_group_name_Hall 'P 1'
_cell_length_a 4.818
_cell_length_b 4.949
_cell_length_c 4.818
_cell_angle_alpha 90.00
_cell_angle_beta 90.00
_cell_angle_gamma 90.00
loop_
_atom_site_label
_atom_site_type_symbol
_atom_site_fract_x
_atom_site_fract_y
_atom_site_fract_z
_atom_site_occupancy
Mg1 Mg 0.000 0.000 0.000 1
K1 K 0.500 0.500 0.500 1
Fe1 Fe 0.000 0.500 0.000 1
Be1 Be 0.500 0.000 0.000 1
Be2 Be 0.000 0.000 0.500 1
```

Values from the calculation:
electronic total energy = -2.3820 eV/atom
space-group type = P4/mmm

***

Which value of electronic total energy does entry 3 give? -2.3820 eV/atom